# AcScIr4, optimized geometry, DFT GGA-PBE
data_AcScIr4
_chemical_formula_sum 'Ac4 Sc4 Ir16'
_space_group_name_H-M_alt 'F -4 3 m'
_space_group_IT_number 216
_space_group_name_Hall 'F -4 2 3'
_cell_length_a 7.6648
_cell_length_b 7.6648
_cell_length_c 7.6648
_cell_angle_alpha 90.00
_cell_angle_beta 90.00
_cell_angle_gamma 90.00
loop_
_atom_site_label
_atom_site_type_symbol
_atom_site_fract_x
_atom_site_fract_y
_atom_site_fract_z
_atom_site_occupancy
Ac1 Ac 0.0000 0.0000 0.0000 1
Sc1 Sc 0.2500 0.2500 0.7500 1
Ir1 Ir 0.1243 0.1243 0.3757 1
# DFT formation energy: -561.1 meV per atom
# DFT total energy: -8.208 eV/atom
# Theoretical density: 15.35 g/cm³